Entry from the Alexandria database: crystalline Rb2NaInH at its relaxed geometry (PBE-GGA).

```
data_Rb2NaInH
_space_group_name_H-M_alt 'P 1'
_space_group_IT_number 1
_space_group_name_Hall 'P 1'
_cell_length_a 5.821
_cell_length_b 5.821
_cell_length_c 5.378
_cell_angle_alpha 90.00
_cell_angle_beta 90.00
_cell_angle_gamma 90.00
loop_
_atom_site_label
_atom_site_type_symbol
_atom_site_fract_x
_atom_site_fract_y
_atom_site_fract_z
Rb1 Rb 0.000 0.500 0.000
Rb2 Rb 0.500 0.000 0.000
Na1 Na 0.000 0.000 0.500
In1 In 0.500 0.500 0.500
H1 H 0.500 0.500 0.000
```

## Properties
V: 36.45 Å³/atom
Space group: P4/mmm, No. 123


Entry from the Alexandria database: crystalline Rb2NaInH at its relaxed geometry (PBE-GGA).

```
data_Rb2NaInH
_space_group_name_H-M_alt 'P 1'
_space_group_IT_number 1
_space_group_name_Hall 'P 1'
_cell_length_a 5.925
_cell_length_b 5.925
_cell_length_c 5.075
_cell_angle_alpha 90.00
_cell_angle_beta 90.00
_cell_angle_gamma 90.00
loop_
_atom_site_label
_atom_site_type_symbol
_atom_site_fract_x
_atom_site_fract_y
_atom_site_fract_z
Rb1 Rb 0.000 0.500 0.000
Rb2 Rb 0.500 0.000 0.000
Na1 Na 0.000 0.000 0.500
In1 In 0.500 0.500 0.500
H1 H 0.000 0.000 0.000
```

## Properties
V: 35.63 Å³/atom
Space group: P4/mmm, No. 123


Entry from the Alexandria database: crystalline NaInHRh2 at its relaxed geometry (PBE-GGA).

```
data_NaInHRh2
_space_group_name_H-M_alt 'P 1'
_space_group_IT_number 1
_space_group_name_Hall 'P 1'
_cell_length_a 4.079
_cell_length_b 4.079
_cell_length_c 4.116
_cell_angle_alpha 90.00
_cell_angle_beta 90.00
_cell_angle_gamma 90.00
loop_
_atom_site_label
_atom_site_type_symbol
_atom_site_fract_x
_atom_site_fract_y
_atom_site_fract_z
Na1 Na 0.000 0.000 0.000
In1 In 0.500 0.500 0.000
H1 H 0.000 0.000 0.500
Rh1 Rh 0.000 0.500 0.500
Rh2 Rh 0.500 0.000 0.500
```

## Properties
V: 13.69 Å³/atom
Space group: P4/mmm, No. 123


We obtain magnetic moment values of 0.00; 0.00; 0.00 μB per cell for the records listed above, in that order.
We obtain final energy values of -1.787; -1.817; -4.512 eV per atom for the records listed above, in that order.